First-principles (PBE) data for a geometry-optimized Pr4Sm5Hg4 structure, as listed in Alexandria via LeMat-Bulk.

Results
- calculated formation energy (eV per atom) = -0.3014
- mass density (g cm⁻³) = 8.74

a b c (Å): 12.2745 12.2745 5.3440
angles (deg): 90.00 90.00 90.00
Space group I4/m (No. 87)
One atom of each set of equivalent atoms:
1 Pr 0.0984 0.3860 0.0000 x8
2 Sm 0.0000 0.0000 0.0000 x2
3 Sm 0.1154 0.1821 0.5000 x8
4 Hg 0.1044 0.7675 0.0000 x8